[1]
A relaxed structure of NaUPa. Source: the Open Quantum Materials Database, functional PBE.

```
NaUPa
1.0
6.851 0.000 0.000
0.000 6.851 0.000
0.000 0.000 6.851
Na U Pa
4 4 4
Direct
0.000 0.000 0.000 Na
0.000 0.500 0.500 Na
0.500 0.000 0.500 Na
0.500 0.500 0.000 Na
0.250 0.250 0.250 U
0.250 0.750 0.750 U
0.750 0.250 0.750 U
0.750 0.750 0.250 U
0.000 0.000 0.500 Pa
0.000 0.500 0.000 Pa
0.500 0.000 0.000 Pa
0.500 0.500 0.500 Pa
```

Values from the calculation:
* crystal system: cubic
* symmetry: F-43m, No. 216
* relative energy among the computed polymorphs: 0.00 kcal/mol of atoms

[2]
A relaxed structure of NaPdPb. Source: the Open Quantum Materials Database, functional PBE.

```
NaPdPb
1.0
6.629 0.000 0.000
0.000 6.629 0.000
0.000 0.000 6.629
Na Pd Pb
4 4 4
Direct
0.000 0.000 0.000 Na
0.000 0.500 0.500 Na
0.500 0.000 0.500 Na
0.500 0.500 0.000 Na
0.250 0.250 0.250 Pd
0.250 0.750 0.750 Pd
0.750 0.250 0.750 Pd
0.750 0.750 0.250 Pd
0.250 0.250 0.750 Pb
0.250 0.750 0.250 Pb
0.750 0.250 0.250 Pb
0.750 0.750 0.750 Pb
```

Values from the calculation:
* crystal system: cubic
* symmetry: F-43m, No. 216
* total energy: -3.1549 eV/atom

[3]
A relaxed structure of NaPd2Pb2. Source: the Open Quantum Materials Database, functional PBE.

```
NaPd2Pb2
1.0
4.555 0.000 0.000
0.000 4.555 0.000
0.000 0.000 12.181
Na Pd Pb
2 4 4
Direct
0.000 0.000 0.000 Na
0.500 0.500 0.500 Na
0.000 0.500 0.250 Pd
0.000 0.500 0.750 Pd
0.500 0.000 0.250 Pd
0.500 0.000 0.750 Pd
0.000 0.000 0.374 Pb
0.000 0.000 0.626 Pb
0.500 0.500 0.126 Pb
0.500 0.500 0.874 Pb
```

Values from the calculation:
* crystal system: tetragonal
* symmetry: I4/mmm, No. 139
* relative energy among the computed polymorphs: 1.91 kcal/mol of atoms

[4]
A relaxed structure of NaPdPb. Source: the Open Quantum Materials Database, functional PBE.

```
NaPdPb
1.0
6.647 0.000 0.000
0.000 6.647 0.000
0.000 0.000 6.647
Na Pd Pb
4 4 4
Direct
0.000 0.000 0.000 Na
0.000 0.500 0.500 Na
0.500 0.000 0.500 Na
0.500 0.500 0.000 Na
0.250 0.250 0.250 Pd
0.250 0.750 0.750 Pd
0.750 0.250 0.750 Pd
0.750 0.750 0.250 Pd
0.000 0.000 0.500 Pb
0.000 0.500 0.000 Pb
0.500 0.000 0.000 Pb
0.500 0.500 0.500 Pb
```

Values from the calculation:
* crystal system: cubic
* symmetry: F-43m, No. 216
* total energy: -3.5514 eV/atom

[5]
A relaxed structure of NaPd2Pb2. Source: the Open Quantum Materials Database, functional PBE.

```
NaPd2Pb2
1.0
7.910 0.000 0.000
0.000 7.910 0.000
0.000 0.000 3.537
Na Pd Pb
2 4 4
Direct
0.000 0.000 0.000 Na
0.500 0.500 0.000 Na
0.133 0.367 0.000 Pd
0.367 0.867 0.000 Pd
0.633 0.133 0.000 Pd
0.867 0.633 0.000 Pd
0.161 0.661 0.500 Pb
0.339 0.161 0.500 Pb
0.661 0.839 0.500 Pb
0.839 0.339 0.500 Pb
```

Values from the calculation:
* crystal system: tetragonal
* symmetry: P4/mbm, No. 127
* relative energy among the computed polymorphs: 0.00 kcal/mol of atoms

[6]
A relaxed structure of NaPdPb. Source: the Open Quantum Materials Database, functional PBE.

```
NaPdPb
1.0
4.822 0.000 0.000
0.000 11.525 0.000
0.000 0.000 4.873
Na Pd Pb
4 4 4
Direct
0.000 0.090 0.250 Na
0.000 0.910 0.750 Na
0.500 0.410 0.750 Na
0.500 0.590 0.250 Na
0.000 0.243 0.750 Pd
0.000 0.757 0.250 Pd
0.500 0.257 0.250 Pd
0.500 0.743 0.750 Pd
0.000 0.377 0.250 Pb
0.000 0.623 0.750 Pb
0.500 0.123 0.750 Pb
0.500 0.877 0.250 Pb
```

Values from the calculation:
* crystal system: orthorhombic
* symmetry: Cmcm, No. 63
* total energy: -3.6751 eV/atom

[7]
A relaxed structure of NaPd3Pb5. Source: the Open Quantum Materials Database, functional PBE.

```
NaPd3Pb5
1.0
5.725 0.000 0.000
-2.862 4.958 0.000
0.000 0.000 8.261
Na Pd Pb
1 3 5
Direct
0.000 0.000 0.000 Na
0.000 0.500 0.500 Pd
0.500 0.000 0.500 Pd
0.500 0.500 0.500 Pd
0.000 0.000 0.500 Pb
0.333 0.667 0.206 Pb
0.333 0.667 0.794 Pb
0.667 0.333 0.206 Pb
0.667 0.333 0.794 Pb
```

Values from the calculation:
* crystal system: hexagonal
* symmetry: P6/mmm, No. 191
* total energy: -4.1074 eV/atom

[8]
A relaxed structure of Na4PdPtPb2. Source: the Open Quantum Materials Database, functional PBE.

```
Na4PdPtPb2
1.0
4.932 0.000 0.000
0.000 4.932 0.000
0.000 0.000 6.942
Na Pd Pt Pb
4 1 1 2
Direct
0.000 0.000 0.000 Na
0.000 0.500 0.248 Na
0.500 0.000 0.752 Na
0.500 0.500 0.500 Na
0.000 0.000 0.500 Pd
0.500 0.500 0.000 Pt
0.000 0.500 0.749 Pb
0.500 0.000 0.251 Pb
```

Values from the calculation:
* crystal system: tetragonal
* symmetry: P-4m2, No. 115
* total energy: -3.1695 eV/atom

[9]
A relaxed structure of NaSrPd2Pb4. Source: the Open Quantum Materials Database, functional PBE.

```
NaSrPd2Pb4
1.0
8.097 0.000 0.000
0.000 4.614 0.000
0.000 0.000 11.468
Na Sr Pd Pb
2 2 4 8
Direct
0.000 0.000 0.000 Na
0.000 0.500 0.500 Na
0.500 0.000 0.133 Sr
0.500 0.500 0.633 Sr
0.000 0.000 0.275 Pd
0.000 0.500 0.775 Pd
0.500 0.000 0.856 Pd
0.500 0.500 0.356 Pd
0.197 0.000 0.714 Pb
0.197 0.500 0.214 Pb
0.293 0.000 0.424 Pb
0.293 0.500 0.924 Pb
0.707 0.000 0.424 Pb
0.707 0.500 0.924 Pb
0.803 0.000 0.714 Pb
0.803 0.500 0.214 Pb
```

Values from the calculation:
* crystal system: orthorhombic
* symmetry: Amm2, No. 38
* total energy: -3.9240 eV/atom

[10]
A relaxed structure of Na2Tl3Pd2Pb. Source: the Open Quantum Materials Database, functional PBE.

```
Na2Tl3Pd2Pb
1.0
4.294 0.000 0.000
-2.139 5.516 0.000
-0.002 -0.005 8.304
Na Tl Pd Pb
2 3 2 1
Direct
0.000 0.000 0.000 Na
0.133 0.263 0.495 Na
0.426 0.852 0.293 Tl
0.429 0.857 0.700 Tl
0.707 0.413 0.205 Tl
0.284 0.566 0.997 Pd
0.847 0.694 0.499 Pd
0.710 0.419 0.797 Pb
```

Values from the calculation:
* crystal system: triclinic
* symmetry: P1, No. 1
* total energy: -3.1708 eV/atom

[11]
A relaxed structure of NaYPdPb. Source: the Open Quantum Materials Database, functional PBE.

```
NaYPdPb
1.0
7.023 0.000 0.000
0.000 7.023 0.000
0.000 0.000 7.023
Na Y Pd Pb
4 4 4 4
Direct
0.000 0.000 0.000 Na
0.000 0.500 0.500 Na
0.500 0.000 0.500 Na
0.500 0.500 0.000 Na
0.250 0.250 0.750 Y
0.250 0.750 0.250 Y
0.750 0.250 0.250 Y
0.750 0.750 0.750 Y
0.000 0.000 0.500 Pd
0.000 0.500 0.000 Pd
0.500 0.000 0.000 Pd
0.500 0.500 0.500 Pd
0.250 0.250 0.250 Pb
0.250 0.750 0.750 Pb
0.750 0.250 0.750 Pb
0.750 0.750 0.250 Pb
```

Values from the calculation:
* crystal system: cubic
* symmetry: F-43m, No. 216
* relative energy among the computed polymorphs: 0.00 kcal/mol of atoms

[12]
A relaxed structure of NaYPdPb. Source: the Open Quantum Materials Database, functional PBE.

```
NaYPdPb
1.0
7.222 0.000 0.000
0.000 7.222 0.000
0.000 0.000 7.222
Na Y Pd Pb
4 4 4 4
Direct
0.000 0.000 0.000 Na
0.000 0.500 0.500 Na
0.500 0.000 0.500 Na
0.500 0.500 0.000 Na
0.000 0.000 0.500 Y
0.000 0.500 0.000 Y
0.500 0.000 0.000 Y
0.500 0.500 0.500 Y
0.250 0.250 0.250 Pd
0.250 0.750 0.750 Pd
0.750 0.250 0.750 Pd
0.750 0.750 0.250 Pd
0.250 0.250 0.750 Pb
0.250 0.750 0.250 Pb
0.750 0.250 0.250 Pb
0.750 0.750 0.750 Pb
```

Values from the calculation:
* crystal system: cubic
* symmetry: F-43m, No. 216
* relative energy among the computed polymorphs: 1.98 kcal/mol of atoms